[1]
HfPaOs: relaxed, GGA-PBE.

Cell: 6.5781 6.5781 6.5781 Å, 90.00 90.00 90.00°
Space group F-43m (No. 216)
One atom of each set of equivalent atoms:
Hf 0.0000 0.0000 0.0000 x4
Pa 0.0000 0.0000 0.5000 x4
Os 0.2500 0.2500 0.2500 x4

Results
Relative energy among the computed polymorphs (eV/f.u.): 0.000
Calculated volume (Å³/f.u.): 71.2

[2]
HfOsPb2: relaxed, GGA-PBE.

Cell: 7.0078 7.0078 7.0078 Å, 90.00 90.00 90.00°
Space group F-43m (No. 216)
One atom of each set of equivalent atoms:
Hf 0.0000 0.0000 0.0000 x4
Os 0.2500 0.2500 0.2500 x4
Pb 0.0000 0.0000 0.5000 x4
Pb 0.2500 0.2500 0.7500 x4

Results
E (eV/atom): -6.7001
Calculated volume (Å³/f.u.): 86.0

[3]
HfOsPd: relaxed, GGA-PBE.

Cell: 6.1564 6.1564 6.1564 Å, 90.00 90.00 90.00°
Space group F-43m (No. 216)
One atom of each set of equivalent atoms:
Hf 0.0000 0.0000 0.0000 x4
Os 0.2500 0.2500 0.7500 x4
Pd 0.2500 0.2500 0.2500 x4

Results
Relative energy among the computed polymorphs (eV/f.u.): 0.000
Calculated volume (Å³/f.u.): 58.3

[4]
HfOsPd2: relaxed, GGA-PBE.

Cell: 6.3902 6.3902 6.3902 Å, 90.00 90.00 90.00°
Space group F-43m (No. 216)
One atom of each set of equivalent atoms:
Hf 0.0000 0.0000 0.0000 x4
Os 0.2500 0.2500 0.7500 x4
Pd 0.0000 0.0000 0.5000 x4
Pd 0.2500 0.2500 0.2500 x4

Results
E (eV/atom): -8.0621
Calculated volume (Å³/f.u.): 65.2

[5]
HfOs2Pd: relaxed, GGA-PBE.

Cell: 6.3631 6.3631 6.3631 Å, 90.00 90.00 90.00°
Space group F-43m (No. 216)
One atom of each set of equivalent atoms:
Hf 0.0000 0.0000 0.0000 x4
Os 0.0000 0.0000 0.5000 x4
Os 0.2500 0.2500 0.2500 x4
Pd 0.2500 0.2500 0.7500 x4

Results
E (eV/atom): -9.3628
Calculated volume (Å³/f.u.): 64.4

[6]
HfOsPd: relaxed, GGA-PBE.

Cell: 6.2003 6.2003 6.2003 Å, 90.00 90.00 90.00°
Space group F-43m (No. 216)
One atom of each set of equivalent atoms:
Hf 0.0000 0.0000 0.0000 x4
Os 0.2500 0.2500 0.2500 x4
Pd 0.0000 0.0000 0.5000 x4

Results
Relative energy among the computed polymorphs (eV/f.u.): 0.052
Calculated volume (Å³/f.u.): 59.6

[7]
HfOsPt: relaxed, GGA-PBE.

Cell: 6.1544 6.1544 6.1544 Å, 90.00 90.00 90.00°
Space group F-43m (No. 216)
One atom of each set of equivalent atoms:
Hf 0.0000 0.0000 0.0000 x4
Os 0.2500 0.2500 0.7500 x4
Pt 0.2500 0.2500 0.2500 x4

Results
Relative energy among the computed polymorphs (eV/f.u.): 0.000
Calculated volume (Å³/f.u.): 58.3

[8]
HfOsPt: relaxed, GGA-PBE.

Cell: 6.1868 6.1868 6.1868 Å, 90.00 90.00 90.00°
Space group F-43m (No. 216)
One atom of each set of equivalent atoms:
Hf 0.0000 0.0000 0.0000 x4
Os 0.2500 0.2500 0.2500 x4
Pt 0.0000 0.0000 0.5000 x4

Results
Relative energy among the computed polymorphs (eV/f.u.): 0.037
Calculated volume (Å³/f.u.): 59.2